(a)
DFT (PBE-GGA) results for crystalline MgPaIr2 at its relaxed geometry.

Lattice parameters (Å, degrees): 4.4389 4.4389 4.8800 117.05 117.05 90.00
Closest atoms and distances in Å follow each position.
Fractional positions:
1 Ir 0.2500 0.2500 0.5000  4 Pa 2.90, 4 Mg 2.90, 4 Ir 3.14
2 Ir 0.7500 0.7500 0.5000  4 Pa 2.90, 4 Mg 2.90, 4 Ir 3.14
3 Mg 0.0000 0.5000 0.0000  8 Ir 2.90, 4 Pa 3.14
4 Pa 0.5000 0.0000 0.0000  8 Ir 2.90, 4 Mg 3.14

Summary:
The value obtained for the total magnetization is 0.000 μB per formula unit. Its space group is I4/mmm. The density of states at the Fermi level is 2.03 states/eV/f.u.

(b)
DFT (PBE-GGA) results for crystalline MgPaIr2 at its relaxed geometry.

Lattice parameters (Å, degrees): 4.7284 4.7284 4.7284 60.00 60.00 60.00
Closest atoms and distances in Å follow each position.
Fractional positions:
1 Mg 0.5000 0.5000 0.5000  8 Ir 2.90
2 Ir 0.2500 0.2500 0.2500  4 Pa 2.90, 4 Mg 2.90
3 Ir 0.7500 0.7500 0.7500  4 Mg 2.90, 4 Pa 2.90
4 Pa 0.0000 0.0000 0.0000  8 Ir 2.90

Summary:
The value obtained for the total magnetization is 0.000 μB per formula unit. Its space group is Fm-3m. The density of states at the Fermi level is 2.99 states/eV/f.u.

The energy of each structure relative to the most stable one, in kJ/mol of atoms, is as follows: (a) 0.0; (b) 2.1.

(a)
DFT (PBE-GGA) results for crystalline MgPaIr at its relaxed geometry.

Lattice parameters (Å, degrees): 3.1793 3.1793 6.5490 104.05 104.05 90.00
Closest atoms and distances in Å follow each position.
Fractional positions:
1 Pa 0.5923 0.5923 0.1846  4 Ir 2.86, 4 Pa 3.18
2 Ir 0.9486 0.9486 0.8971  4 Mg 2.83, 4 Pa 2.86
3 Mg 0.3091 0.3091 0.6183  4 Ir 2.83

Summary:
The value obtained for the total magnetization is 0.000 μB per formula unit. Its space group is I4mm. The density of states at the Fermi level is 3.12 states/eV/f.u.

(b)
DFT (PBE-GGA) results for crystalline MgPaIr at its relaxed geometry.

Lattice parameters (Å, degrees): 4.6334 4.6334 4.6334 60.00 60.00 60.00
Closest atoms and distances in Å follow each position.
Fractional positions:
1 Pa 0.5000 0.5000 0.5000  4 Ir 2.84
2 Ir 0.2500 0.2500 0.2500  4 Pa 2.84, 4 Mg 2.84
3 Mg 0.0000 0.0000 0.0000  4 Ir 2.84

Summary:
The value obtained for the total magnetization is 0.000 μB per formula unit. Its space group is F-43m. The density of states at the Fermi level is 5.04 states/eV/f.u.

The energy of each structure relative to the most stable one, in kJ/mol of atoms, is as follows: (a) 0.0; (b) 3.4.

(a)
DFT (PBE-GGA) results for crystalline MgIr2Pb2 at its relaxed geometry.

Lattice parameters (Å, degrees): 4.3922 4.3922 6.7161 70.91 70.91 90.00
Closest atoms and distances in Å follow each position.
Fractional positions:
1 Pb 0.7500 0.2500 0.5000  4 Ir 2.81, 4 Pb 3.11
2 Pb 0.2500 0.7500 0.5000  4 Ir 2.81, 4 Pb 3.11
3 Ir 0.6031 0.6031 0.7938  1 Ir 2.46
4 Ir 0.3969 0.3969 0.2062  1 Ir 2.46
5 Mg 0.0000 0.0000 0.0000  8 Ir 3.34, 8 Pb 3.70

Summary:
The value obtained for the total magnetization is 0.000 μB per formula unit. Its space group is I4/mmm. The density of states at the Fermi level is 2.58 states/eV/f.u.

(b)
DFT (PBE-GGA) results for crystalline MgIr2Pb2 at its relaxed geometry.

Lattice parameters (Å, degrees): 7.1632 7.1632 3.9794 90.00 90.00 90.00
Closest atoms and distances in Å follow each position.
Fractional positions:
1 Pb 0.3335 0.1665 0.5000  6 Ir 2.82-2.95
2 Pb 0.6665 0.8335 0.5000  6 Ir 2.82-2.95
3 Pb 0.1665 0.6665 0.5000  6 Ir 2.82-2.95
4 Pb 0.8335 0.3335 0.5000  6 Ir 2.82-2.95
5 Ir 0.8643 0.6357 0.0000  1 Ir 2.75, 2 Mg 2.78, 6 Pb 2.82-2.95
6 Ir 0.1357 0.3643 0.0000  1 Ir 2.75, 2 Mg 2.78, 6 Pb 2.82-2.95
7 Ir 0.3643 0.8643 0.0000  1 Ir 2.75, 2 Mg 2.78, 6 Pb 2.82-2.95
8 Ir 0.6357 0.1357 0.0000  1 Ir 2.75, 2 Mg 2.78, 6 Pb 2.82-2.95
9 Mg 0.0000 0.0000 0.0000  4 Ir 2.78
10 Mg 0.5000 0.5000 0.0000  4 Ir 2.78

Summary:
The value obtained for the total magnetization is 0.000 μB per formula unit. Its space group is P4/mbm. The density of states at the Fermi level is 3.69 states/eV/f.u.

The energy of each structure relative to the most stable one, in kJ/mol of atoms, is as follows: (a) 18.0; (b) 0.0.